Material: VSn2F
Method: DFT, PBE with a Hubbard U
State: optimized geometry

Offset from the most stable computed form ... 53.4 meV/atom

Cell: 7.366 7.366 6.285 Å, 90.00 90.00 90.00°
Fractional coordinates of all 16 atoms:
V: 0.000 0.000 0.000
V: 0.000 0.500 0.250
V: 0.500 0.000 0.750
V: 0.500 0.500 0.500
Sn: 0.192 0.250 0.625
Sn: 0.250 0.692 0.875
Sn: 0.250 0.808 0.375
Sn: 0.308 0.250 0.125
Sn: 0.692 0.750 0.125
Sn: 0.750 0.192 0.375
Sn: 0.750 0.308 0.875
Sn: 0.808 0.750 0.625
F: 0.000 0.000 0.500
F: 0.000 0.500 0.750
F: 0.500 0.000 0.250
F: 0.500 0.500 0.000